[1]
Below is a PBEsol-optimized structure of Cs3RhO, with properties calculated at the meta-GGA SCAN level.

Computed properties:
Formation energy without anion corrections (meV/atom): 301.0
Crystal system: cubic
Calculated density (kg/m³): 4806

a b c (Å): 5.634 5.634 5.634
angles (deg): 90.00 90.00 90.00
Element x y z (fractional)
Cs  0.000  0.000  0.500
Cs  0.000  0.500  0.000
Cs  0.500  0.000  0.000
Rh  0.000  0.000  0.000
O  0.500  0.500  0.500


[2]
Below is a PBEsol-optimized structure of TaRe3N, with properties calculated at the meta-GGA SCAN level.

Computed properties:
Formation energy without anion corrections (meV/atom): 72.1
Crystal system: cubic
Calculated density (kg/m³): 18606

a b c (Å): 4.067 4.067 4.067
angles (deg): 90.00 90.00 90.00
Element x y z (fractional)
Ta  0.000  0.000  0.000
Re  0.000  0.500  0.500
Re  0.500  0.000  0.500
Re  0.500  0.500  0.000
N  0.500  0.500  0.500


[3]
Below is a PBEsol-optimized structure of Rb2SrGaGe, with properties calculated at the meta-GGA SCAN level.

Computed properties:
Crystal system: tetragonal
Calculated density (kg/m³): 2371
E_tot (hartree per atom): -0.7030

a b c (Å): 7.140 7.140 5.508
angles (deg): 90.00 90.00 90.00
Element x y z (fractional)
Rb  0.000  0.500  0.000
Rb  0.500  0.000  0.000
Sr  0.000  0.000  0.000
Ga  0.500  0.500  0.500
Ge  0.000  0.000  0.500


[4]
Below is a PBEsol-optimized structure of Na2AlZn2, with properties calculated at the meta-GGA SCAN level.

Computed properties:
Crystal system: tetragonal
Calculated density (kg/m³): 3139
E_tot (hartree per atom): -0.3151

a b c (Å): 6.627 6.627 4.909
angles (deg): 90.00 90.00 90.00
Element x y z (fractional)
Na  0.178  0.322  0.000
Na  0.322  0.822  0.000
Na  0.678  0.178  0.000
Na  0.822  0.678  0.000
Al  0.000  0.000  0.500
Al  0.500  0.500  0.500
Zn  0.134  0.634  0.500
Zn  0.366  0.134  0.500
Zn  0.634  0.866  0.500
Zn  0.866  0.366  0.500


[5]
Below is a PBEsol-optimized structure of SrCaCrN2, with properties calculated at the meta-GGA SCAN level.

Computed properties:
Formation energy without anion corrections (meV/atom): 1428.1
Crystal system: tetragonal
Calculated density (kg/m³): 3265

a b c (Å): 4.500 4.500 5.216
angles (deg): 90.00 90.00 90.00
Element x y z (fractional)
Sr  0.000  0.000  0.000
Ca  0.000  0.000  0.500
Cr  0.500  0.500  0.000
N  0.000  0.500  0.500
N  0.500  0.000  0.500


[6]
Below is a PBEsol-optimized structure of LiTl2Ag, with properties calculated at the meta-GGA SCAN level.

Computed properties:
Crystal system: orthorhombic
Calculated density (kg/m³): 10225
ΔE to the lowest computed polymorph (kJ per mole of atoms): 2.3

a b c (Å): 3.418 3.717 6.692
angles (deg): 90.00 90.00 90.00
Element x y z (fractional)
Li  0.000  0.000  0.000
Tl  0.000  0.000  0.560
Tl  0.500  0.500  0.244
Ag  0.500  0.500  0.807


[7]
Below is a PBEsol-optimized structure of AsRhAu4, with properties calculated at the meta-GGA SCAN level.

Computed properties:
Crystal system: cubic
Calculated density (kg/m³): 14949
E_tot (hartree per atom): -2.0073

a b c (Å): 5.333 5.333 5.333
angles (deg): 60.00 60.00 60.00
Element x y z (fractional)
As  0.000  0.000  0.000
Rh  0.750  0.750  0.750
Au  0.375  0.375  0.375
Au  0.375  0.375  0.874
Au  0.375  0.874  0.375
Au  0.874  0.375  0.375


[8]
Below is a PBEsol-optimized structure of LaMoP2, with properties calculated at the meta-GGA SCAN level.

Computed properties:
Crystal system: trigonal
Calculated density (kg/m³): 6396
ΔE to the lowest computed polymorph (kJ per mole of atoms): 0.0

a b c (Å): 6.463 6.463 6.463
angles (deg): 34.45 34.45 34.45
Element x y z (fractional)
La  0.000  0.000  0.000
Mo  0.500  0.500  0.500
P  0.232  0.232  0.232
P  0.768  0.768  0.768